Tb3PmEr5 after structural relaxation. Source: the Alexandria database, functional PBE-GGA.

a = 9.094 Å, b = 9.094 Å, c = 11.817 Å
α = 123.83°, β = 123.83°, γ = 56.90°
Fractional positions:
Tb1 0.000 0.000 0.000
Tb2 0.000 0.000 0.500
Tb3 0.256 0.256 0.195
Tb4 0.276 0.276 0.708
Tb5 0.724 0.724 0.292
Tb6 0.744 0.744 0.805
Pm1 0.142 0.142 0.356
Pm2 0.858 0.858 0.644
Er1 0.069 0.708 0.173
Er2 0.292 0.931 0.827
Er3 0.320 0.680 0.000
Er4 0.345 0.345 0.027
Er5 0.445 0.445 0.601
Er6 0.555 0.555 0.399
Er7 0.655 0.655 0.973
Er8 0.680 0.320 0.000
Er9 0.708 0.069 0.173
Er10 0.931 0.292 0.827

Computed properties:
calculated total energy	-4.1371	eV per atom
density	7.6	Mg/m³
relative energy among the computed polymorphs	1.28	eV/f.u.
total magnetization	0.000	μB/f.u.
E_form	407	kJ/mol of formula units
symmetry	C2/m, No. 12

=====

SmScRuRh after structural relaxation. Source: the Alexandria database, functional PBE-GGA.

a = 6.709 Å, b = 6.709 Å, c = 6.709 Å
α = 90.00°, β = 90.00°, γ = 90.00°
Fractional positions:
Sm1 0.000 0.000 0.000
Sm2 0.000 0.500 0.500
Sm3 0.500 0.000 0.500
Sm4 0.500 0.500 0.000
Sc1 0.000 0.000 0.500
Sc2 0.000 0.500 0.000
Sc3 0.500 0.000 0.000
Sc4 0.500 0.500 0.500
Ru1 0.250 0.250 0.250
Ru2 0.250 0.750 0.750
Ru3 0.750 0.250 0.750
Ru4 0.750 0.750 0.250
Rh1 0.250 0.250 0.750
Rh2 0.250 0.750 0.250
Rh3 0.750 0.250 0.250
Rh4 0.750 0.750 0.750

Computed properties:
calculated total energy	-7.5000	eV per atom
density	8.8	Mg/m³
total magnetization	0.000	μB/f.u.
E_form	-224	kJ/mol of formula units
symmetry	F-43m, No. 216

=====

Q: Number 2 is which compound?
A: SmScRuRh